VASP calculation (PBE) on an optimized crystal structure of LaScCd2.

Computed properties:
- Formation energy from the elements: -0.27 eV per atom
- Distance to the lowest polymorph of the same formula: 0.032 eV/atom

Cell lengths 7.5205, 7.5205, 7.5205 Å; angles 90.00, 90.00, 90.00 degrees
Space group Fm-3m (No. 225)
Asymmetric unit:
La1 0.0000 0.0000 0.0000 x4
Sc1 0.0000 0.0000 0.5000 x4
Cd1 0.2500 0.2500 0.2500 x8